This record from Alexandria describes an optimized crystal structure of SrCaTbMg. The functional is PBE.

The calculation puts the density of states at the Fermi level at 25.20 states/eV per cell. The total DFT energy (no corrections) comes out at -2.36 eV per atom.

The space group is F-43m (No. 216) and the conventional cell measures 8.295, 8.295 and 8.295 Å, with angles of 90.00, 90.00 and 90.00 degrees. Symmetry generates all atoms from Sr at (0.000, 0.000, 0.000), Ca at (0.250, 0.250, 0.250), Tb at (0.000, 0.000, 0.500) and Mg at (0.250, 0.250, 0.750).